First-principles (PBE) data for a relaxed structure of Pm2Sm2DyEr, as listed in Alexandria via LeMat-Bulk.

Unit cell a=5.6782 b=7.0505 c=9.8345 alpha=90.00 beta=90.00 gamma=90.00
Element x y z (fractional)
Pm: 0.0000 0.2574 0.8392
Pm: 0.5000 0.2578 0.3287
Pm: 0.0000 0.7574 0.1608
Pm: 0.5000 0.7578 0.6713
Sm: 0.5000 0.0074 0.0001
Sm: 0.0000 0.2576 0.1774
Sm: 0.5000 0.5074 0.9999
Sm: 0.0000 0.7576 0.8226
Dy: 0.5000 0.2577 0.6581
Dy: 0.5000 0.7577 0.3419
Er: 0.0000 0.0077 0.4999
Er: 0.0000 0.5077 0.5001

Properties
Final energy: -4.62 eV per atom
Total magnetic moment: 0.00 μB per cell
N(E_F): 18.62 states/eV/cell
Calculated formation energy: 0.060 eV/atom